No. 1
A plane-wave DFT calculation with PBE-GGA was carried out for a relaxed KLiBe2F6 crystal.

The value obtained for the magnetic moment is 0.1 Bohr magnetons per cell. For the uncorrected formation energy, the calculation gives -3031 kJ/mol of formula units. Its space-group type is C2/c. The calculation puts the total energy at -106.20 eV/cell.

Lattice parameters (Å, degrees): 6.824 6.824 5.197 99.73 99.73 88.61
Fractional coordinates of all 20 atoms:
1 K 0.198 0.802 0.750
2 K 0.802 0.198 0.250
3 Li 0.417 0.583 0.250
4 Li 0.583 0.417 0.750
5 Be 0.136 0.305 0.804
6 Be 0.305 0.136 0.304
7 Be 0.695 0.864 0.696
8 Be 0.864 0.695 0.196
9 F 0.074 0.616 0.261
10 F 0.150 0.174 0.039
11 F 0.174 0.150 0.539
12 F 0.312 0.453 0.876
13 F 0.384 0.926 0.239
14 F 0.453 0.312 0.376
15 F 0.547 0.688 0.624
16 F 0.616 0.074 0.761
17 F 0.688 0.547 0.124
18 F 0.826 0.850 0.461
19 F 0.850 0.826 0.961
20 F 0.926 0.384 0.739

=====

No. 2
A plane-wave DFT calculation with PBE-GGA was carried out for a relaxed K2MgBeF6 crystal.

The value obtained for the magnetic moment is 0.0 Bohr magnetons per cell. For the uncorrected formation energy, the calculation gives -2963 kJ/mol of formula units. Its space-group type is P-3m1. The calculation puts the total energy at -49.45 eV/cell.

Lattice parameters (Å, degrees): 5.782 5.782 4.946 90.00 90.00 120.00
Fractional coordinates of all 10 atoms:
1 K 0.333 0.667 0.185
2 K 0.667 0.333 0.815
3 Mg 0.000 0.000 0.500
4 Be 0.000 0.000 0.000
5 F 0.142 0.285 0.779
6 F 0.142 0.858 0.779
7 F 0.285 0.142 0.221
8 F 0.715 0.858 0.779
9 F 0.858 0.142 0.221
10 F 0.858 0.715 0.221

=====

No. 3
A plane-wave DFT calculation with PBE-GGA was carried out for a relaxed KMgBe2F8 crystal.

The value obtained for the magnetic moment is 1.1 Bohr magnetons per cell. For the uncorrected formation energy, the calculation gives -3441 kJ/mol of formula units. Its space-group type is R-3. The calculation puts the total energy at -60.78 eV/cell.

Lattice parameters (Å, degrees): 7.820 7.820 7.820 37.19 37.19 37.19
Fractional coordinates of all 12 atoms:
1 K 0.000 0.000 0.000
2 Mg 0.500 0.500 0.500
3 Be 0.241 0.241 0.241
4 Be 0.759 0.759 0.759
5 F 0.095 0.503 0.741
6 F 0.259 0.905 0.497
7 F 0.313 0.313 0.313
8 F 0.497 0.259 0.905
9 F 0.503 0.741 0.095
10 F 0.687 0.687 0.687
11 F 0.741 0.095 0.503
12 F 0.905 0.497 0.259